[1]
Material: Pm3Ga7Pd2
Method: DFT, PBE-GGA
State: relaxed

Results
Calculated formation energy ... -0.6847 eV/atom

Cell: 4.301 4.300 13.572 Å, 99.00 90.00 90.00°
Element x y z (fractional)
Ga 0.000 0.586 0.164
Ga 0.500 0.082 0.164
Ga 0.000 0.000 0.000
Ga 0.500 0.918 0.836
Ga 0.500 0.725 0.449
Ga 0.500 0.275 0.551
Ga 0.000 0.414 0.836
Pd 0.500 0.631 0.263
Pd 0.500 0.369 0.737
Pm 0.500 0.500 0.000
Pm 0.000 0.184 0.363
Pm 0.000 0.816 0.637

---

[2]
Material: TaSbCl2
Method: DFT, PBE-GGA
State: relaxed

Results
E above lowest polymorph ... 504 meV per atom
Energy relative to the elements, uncorrected ... -9 kJ per mole of atoms

Cell: 8.849 8.849 6.818 Å, 49.53 49.53 90.00°
Element x y z (fractional)
Cl 0.762 0.125 0.250
Cl 0.988 0.625 0.250
Cl 0.875 0.012 0.750
Cl 0.375 0.238 0.750
Ta 0.000 0.000 0.000
Ta 0.750 0.250 0.500
Sb 0.500 0.500 0.000
Sb 0.250 0.750 0.500

---

[3]
Material: Ho6Te3PtS2
Method: DFT, PBE-GGA
State: relaxed

Results
Energy relative to the elements, uncorrected ... -147 kJ per mole of atoms

Cell: 7.161 7.161 7.353 Å, 99.41 99.41 120.01°
Element x y z (fractional)
Te 0.171 0.829 0.500
Te 0.829 0.171 0.500
Te 0.500 0.500 0.500
S 0.666 0.334 0.000
S 0.334 0.666 0.000
Ho 0.256 0.256 0.784
Ho 0.930 0.603 0.787
Ho 0.070 0.397 0.213
Ho 0.397 0.070 0.213
Ho 0.744 0.744 0.216
Ho 0.603 0.930 0.787
Pt 0.000 0.000 0.000

---

[4]
Material: KYOsC2
Method: DFT, PBE-GGA
State: relaxed

Results
Calculated formation energy ... 3.2891 eV/atom

Cell: 4.465 4.764 4.465 Å, 90.00 90.00 90.00°
Element x y z (fractional)
C 0.500 0.000 0.000
C 0.000 0.000 0.500
Y 0.500 0.500 0.500
K 0.000 0.000 0.000
Os 0.000 0.500 0.000

---

[5]
Material: UV2C
Method: DFT, PBE-GGA
State: relaxed

Results
E above lowest polymorph ... 161 meV per atom
Calculated formation energy ... 0.1939 eV/atom

Cell: 2.722 2.722 6.974 Å, 90.00 90.00 90.00°
Element x y z (fractional)
V 0.000 0.000 0.837
V 0.000 0.000 0.163
C 0.500 0.500 0.000
U 0.500 0.500 0.500

---

[6]
Material: Zr2SnP2
Method: DFT, PBE-GGA
State: relaxed

Results
E above lowest polymorph ... 8 meV per atom
Calculated formation energy ... -0.7120 eV/atom

Cell: 3.643 3.643 7.766 Å, 76.43 76.43 90.00°
Element x y z (fractional)
Sn 0.000 0.000 0.000
Zr 0.617 0.617 0.766
Zr 0.383 0.383 0.234
P 0.250 0.750 0.500
P 0.750 0.250 0.500

---

[7]
Material: Si2TeAu
Method: DFT, PBE-GGA
State: relaxed

Results
Energy relative to the elements, uncorrected ... 20 kJ per mole of atoms

Cell: 5.927 5.927 7.244 Å, 65.85 65.85 90.00°
Element x y z (fractional)
Au 0.750 0.250 0.500
Au 0.000 0.000 0.000
Si 0.375 0.329 0.750
Si 0.671 0.125 0.250
Si 0.875 0.921 0.750
Si 0.079 0.625 0.250
Te 0.250 0.750 0.500
Te 0.500 0.500 0.000

---

[8]
Material: PaAlB2O8
Method: DFT, PBE-GGA
State: relaxed

Results
Energy relative to the elements, uncorrected ... -231 kJ per mole of atoms

Cell: 4.752 4.752 6.354 Å, 90.00 90.00 120.00°
Element x y z (fractional)
B 0.333 0.667 0.729
B 0.667 0.333 0.271
O 0.333 0.166 0.200
O 0.166 0.834 0.800
O 0.834 0.166 0.200
O 0.834 0.667 0.200
O 0.667 0.333 0.503
O 0.333 0.667 0.497
O 0.166 0.333 0.800
O 0.667 0.834 0.800
Al 0.000 0.000 0.000
Pa 0.000 0.000 0.500

---

[9]
Material: Pu2CdBr8
Method: DFT, PBE-GGA
State: relaxed

Results
Energy relative to the elements, uncorrected ... -117 kJ per mole of atoms

Cell: 9.122 7.677 7.677 Å, 55.40 83.09 83.09°
Element x y z (fractional)
Cd 0.000 0.000 0.000
Pu 0.382 0.867 0.867
Pu 0.618 0.133 0.133
Br 0.482 0.664 0.664
Br 0.518 0.336 0.336
Br 0.143 0.619 0.128
Br 0.857 0.872 0.381
Br 0.143 0.128 0.619
Br 0.857 0.381 0.872
Br 0.316 0.083 0.083
Br 0.684 0.917 0.917

---

[10]
Material: Hg6PdI2
Method: DFT, PBE-GGA
State: relaxed

Results
Energy relative to the elements, uncorrected ... -8 kJ per mole of atoms

Cell: 9.101 9.101 8.617 Å, 89.97 89.97 127.23°
Element x y z (fractional)
Hg 0.908 0.619 0.261
Hg 0.092 0.381 0.739
Hg 0.874 0.085 0.464
Hg 0.381 0.092 0.239
Hg 0.278 0.372 0.245
Hg 0.126 0.915 0.536
Hg 0.915 0.126 0.036
Hg 0.372 0.278 0.745
Hg 0.619 0.908 0.761
Hg 0.722 0.628 0.755
Hg 0.628 0.722 0.255
Hg 0.085 0.874 0.964
I 0.293 0.704 0.997
I 0.296 0.707 0.503
I 0.704 0.293 0.497
I 0.707 0.296 0.003
Pd 0.982 0.018 0.750
Pd 0.018 0.982 0.250

---

[11]
Material: Pm4SmSb2
Method: DFT, PBE-GGA
State: relaxed

Results
Energy relative to the elements, uncorrected ... 12 kJ per mole of atoms

Cell: 5.376 5.376 9.275 Å, 106.85 106.85 90.00°
Element x y z (fractional)
Sm 0.000 0.000 0.000
Sb 0.367 0.367 0.734
Sb 0.633 0.633 0.266
Pm 0.184 0.184 0.368
Pm 0.000 0.500 0.000
Pm 0.816 0.816 0.632
Pm 0.500 0.000 0.000

---

[12]
Material: Pm2GaSn2
Method: DFT, PBE-GGA
State: relaxed

Results
Calculated formation energy ... -0.5605 eV/atom

Cell: 4.556 6.896 9.253 Å, 90.00 104.25 90.00°
Element x y z (fractional)
Pm 0.990 0.731 0.980
Pm 0.208 0.933 0.416
Pm 0.792 0.433 0.584
Pm 0.010 0.231 0.020
Sn 0.587 0.964 0.175
Sn 0.170 0.452 0.339
Sn 0.830 0.952 0.661
Sn 0.413 0.464 0.825
Ga 0.591 0.554 0.182
Ga 0.409 0.054 0.818

---

Total moment values, unit μB per formula unit, following the record order: 0.00 0.04 0.00 0.71 0.00 0.00 0.00 1.83 10.00 0.00 0.92 0.00.
Fermi-level density of states values, unit states/eV per cell, following the record order: 7.239 3.540 3.983 5.859 3.432 2.841 4.350 6.520 24.333 6.110 7.547 4.347.